Record 1
! La2YHoTm2 | Alexandria via LeMat-Bulk | GGA-PBE | optimized geometry; values from VASP
&SYSTEM
  ibrav = 0, nat = 12, ntyp = 4
/
ATOMIC_SPECIES
Y 88.91 Y.upf
Tm 168.93 Tm.upf
La 138.91 La.upf
Ho 164.93 Ho.upf
CELL_PARAMETERS angstrom
-2.799 -0.665 -4.885
4.097 -5.547 -1.592
-6.388 -6.004 4.478
ATOMIC_POSITIONS angstrom
Y -3.163 -3.044 2.227
Tm 2.038 -5.205 -0.459
La -2.160 -9.150 2.484
La -0.069 -2.485 0.378
Ho -4.558 -5.722 0.101
Y -1.114 -5.817 1.430
Tm -2.487 -3.775 -1.351
Tm -2.540 -8.525 -0.673
Ho -0.469 -6.578 -2.125
La -7.755 -6.378 2.023
Tm -4.266 -6.431 3.320
La 0.680 -3.149 -3.250
! final energy = -58.83 eV for the cell shown
! ΔE_f = 0.07 eV per atom
! SG = Pmma

Record 2
! LaY6HoTm2 | Alexandria via LeMat-Bulk | GGA-PBE | optimized geometry; values from VASP
&SYSTEM
  ibrav = 0, nat = 20, ntyp = 4
/
ATOMIC_SPECIES
Tm 168.93 Tm.upf
Ho 164.93 Ho.upf
Y 88.91 Y.upf
La 138.91 La.upf
CELL_PARAMETERS angstrom
-3.165 8.239 -3.275
-8.148 -2.917 1.709
4.280 3.837 6.691
ATOMIC_POSITIONS angstrom
Tm -4.938 4.007 4.553
Ho -1.644 3.108 3.814
Y 0.166 7.719 1.483
Ho -5.389 6.052 1.310
Y -9.138 6.115 0.025
Tm -5.237 8.824 3.430
La -8.502 -0.620 1.065
Y -2.810 6.349 3.561
Tm -1.796 0.335 1.694
Y -7.199 1.441 3.641
La 1.469 9.779 4.060
Y -5.058 -0.101 0.392
Y -4.068 0.685 4.059
Y -2.965 8.474 1.065
Y -7.450 2.831 0.266
Tm -2.095 5.152 0.571
Y 0.417 6.328 4.859
Y 2.105 3.045 5.100
Y -4.223 2.811 1.564
Y -1.975 9.260 4.733
! final energy = -112.06 eV for the cell shown
! ΔE_f = 0.12 eV per atom
! SG = C2/c

Record 3
! La2Y4Ho2Tm | Alexandria via LeMat-Bulk | GGA-PBE | optimized geometry; values from VASP
&SYSTEM
  ibrav = 0, nat = 9, ntyp = 4
/
ATOMIC_SPECIES
Tm 168.93 Tm.upf
Y 88.91 Y.upf
La 138.91 La.upf
Ho 164.93 Ho.upf
CELL_PARAMETERS angstrom
-3.401 0.864 -0.910
0.505 -8.990 -3.205
-2.257 0.911 9.303
ATOMIC_POSITIONS angstrom
Tm 0.000 0.000 0.000
Y -3.950 -4.343 3.420
La -4.342 -1.479 7.606
Y -1.203 -2.872 1.769
La -0.811 -5.736 -2.418
Y -2.645 -7.610 2.659
Y -2.508 0.395 2.529
Ho -3.304 -5.295 0.102
Ho -1.848 -1.920 5.087
! final energy = -49.34 eV for the cell shown
! ΔE_f = 0.00 eV per atom
! SG = C2/m

Record 4
! La2YHoTm5 | Alexandria via LeMat-Bulk | GGA-PBE | optimized geometry; values from VASP
&SYSTEM
  ibrav = 0, nat = 18, ntyp = 4
/
ATOMIC_SPECIES
Ho 164.93 Ho.upf
Tm 168.93 Tm.upf
Y 88.91 Y.upf
La 138.91 La.upf
CELL_PARAMETERS angstrom
5.616 0.000 0.000
-2.808 9.837 0.000
0.000 0.000 10.698
ATOMIC_POSITIONS angstrom
Ho 0.000 3.964 0.120
Tm 0.000 5.554 3.266
Tm 0.000 0.327 0.283
Y 0.000 8.151 4.939
La 0.000 2.208 7.843
Tm 0.000 5.890 7.576
Tm 2.808 4.283 8.615
La 2.808 7.629 2.494
Tm 0.000 9.444 7.902
Ho 2.808 5.873 5.469
Tm 2.808 0.393 2.553
Tm 2.808 9.510 5.632
La 2.808 7.580 8.755
Y 2.808 1.686 10.288
Tm 0.000 7.663 0.226
Tm 2.808 3.948 2.226
La 0.000 2.257 3.405
Tm 2.808 2.174 5.575
! final energy = -83.91 eV for the cell shown
! ΔE_f = 0.14 eV per atom
! SG = Cmc2_1

Record 5
! La5YHo2Tm | Alexandria via LeMat-Bulk | GGA-PBE | optimized geometry; values from VASP
&SYSTEM
  ibrav = 0, nat = 18, ntyp = 4
/
ATOMIC_SPECIES
Y 88.91 Y.upf
La 138.91 La.upf
Ho 164.93 Ho.upf
Tm 168.93 Tm.upf
CELL_PARAMETERS angstrom
-2.367 -4.972 -0.064
3.355 1.314 10.657
-9.325 4.409 2.392
ATOMIC_POSITIONS angstrom
Y -0.820 -2.687 2.130
La -8.251 0.856 1.784
Ho -1.900 -2.259 8.783
La -7.856 0.605 6.617
La -0.071 0.033 0.039
Y -3.003 1.304 9.697
La -3.753 -1.416 11.788
Ho -6.559 3.069 4.233
La -1.756 0.749 6.695
La -5.385 -0.535 3.810
La -2.082 -2.125 5.124
Tm -4.664 -0.925 7.358
La 1.559 -0.846 8.018
La -0.234 -0.034 11.239
Ho -1.927 0.878 3.036
Ho -6.589 -0.042 9.995
Tm 0.831 -0.453 4.472
La -5.303 2.426 7.617
! final energy = -87.15 eV for the cell shown
! ΔE_f = 0.13 eV per atom
! SG = Cmc2_1

Record 6
! LaYHo5Tm2 | Alexandria via LeMat-Bulk | GGA-PBE | optimized geometry; values from VASP
&SYSTEM
  ibrav = 0, nat = 18, ntyp = 4
/
ATOMIC_SPECIES
Y 88.91 Y.upf
Ho 164.93 Ho.upf
Tm 168.93 Tm.upf
La 138.91 La.upf
CELL_PARAMETERS angstrom
-3.706 3.957 -1.367
-0.141 -6.746 -7.711
-7.598 -5.428 4.888
ATOMIC_POSITIONS angstrom
Y -0.897 -1.978 -3.295
Ho -3.497 -4.380 -3.197
Tm -6.019 -5.044 1.720
Ho -4.265 -1.097 -3.048
Tm -9.619 -6.155 -3.170
Ho -8.898 -4.516 -0.382
Tm -5.180 -2.998 -6.068
Ho -1.724 -3.821 -6.389
La -9.391 -3.954 2.582
Ho -6.280 -1.938 -0.016
Ho -6.591 -6.699 -1.521
Ho -7.774 -5.480 -6.220
La -5.080 -6.425 -4.825
Tm -2.877 -2.814 -0.344
Ho -7.501 -8.558 -4.436
Ho -3.732 0.492 0.109
Ho -0.264 -0.304 -0.162
Y -6.947 -3.667 -3.212
! final energy = -83.37 eV for the cell shown
! ΔE_f = 0.17 eV per atom
! SG = Cmc2_1